Crystalline BaNa3Hg at its relaxed geometry, computed with GGA-PBE.

Cell lengths 5.9115, 5.9115, 5.9115 Å; angles 90.00, 90.00, 90.00 degrees
Positions (direct):
Na 0.0000 0.5000 0.0000
Na 0.0000 0.0000 0.5000
Na 0.5000 0.0000 0.0000
Hg 0.0000 0.0000 0.0000
Ba 0.5000 0.5000 0.5000

Values from the calculation:
E   -1.27 eV per atom
M_tot   0.0000 μB per atom
Symmetry   Pm-3m (221)
Calculated formation energy   -0.18 eV per formula unit